A plane-wave DFT calculation with PBE-GGA was carried out for CaOs2W after structural relaxation.

- E_form: 0.771 eV/atom
- ΔE to the lowest computed polymorph: 0.508 eV per atom
- Calculated total energy: -34.33 eV/cell

Unit cell a=4.5225 b=4.5225 c=4.5225 alpha=60.00 beta=60.00 gamma=60.00
Closest atoms and distances in Å follow each position.
Fractional positions:
Os  0.2500  0.2500  0.2500  4 Os 2.77, 4 Ca 2.77
Ca  0.5000  0.5000  0.5000  4 W 2.77, 4 Os 2.77
W  0.7500  0.7500  0.7500  4 Ca 2.77, 4 Os 2.77
Os  0.0000  0.0000  0.0000  4 W 2.77, 4 Os 2.77

***

A plane-wave DFT calculation with PBE-GGA was carried out for PrCdCo after structural relaxation.

- E_form: -0.184 eV/atom
- Calculated total energy: -26.70 eV/cell

Unit cell a=3.9189 b=4.0894 c=8.7592 alpha=103.50 beta=90.00 gamma=90.00
Closest atoms and distances in Å follow each position.
Fractional positions:
Cd  0.2500  0.7037  0.4074  1 Co 2.89
Pr  0.2500  0.9044  0.8088  6 Co 3.01-3.02
Co  0.7500  0.4661  0.9321  2 Co 2.28
Pr  0.7500  0.0956  0.1912  6 Co 3.01-3.02
Cd  0.7500  0.2963  0.5926  1 Co 2.89
Co  0.2500  0.5339  0.0679  2 Co 2.28

***

A plane-wave DFT calculation with PBE-GGA was carried out for Dy3ZrPt12 after structural relaxation.

- E_form: -1.045 eV/atom
- Calculated total energy: -111.56 eV/cell

Unit cell a=4.1017 b=4.1017 c=16.4182 alpha=90.00 beta=90.00 gamma=90.00
Closest atoms and distances in Å follow each position.
Fractional positions:
Pt  0.0000  0.5000  0.8800  8 Pt 2.84-2.92, 2 Zr 2.84, 2 Dy 2.95
Pt  0.5000  0.0000  0.1200  2 Zr 2.84, 8 Pt 2.84-2.92, 2 Dy 2.95
Pt  0.5000  0.0000  0.8800  2 Zr 2.84, 8 Pt 2.84-2.92, 2 Dy 2.95
Pt  0.5000  0.5000  0.7530  4 Dy 2.90, 8 Pt 2.92
Pt  0.5000  0.5000  0.2470  4 Dy 2.90, 8 Pt 2.92
Dy  0.0000  0.0000  0.7505  12 Pt 2.89-2.95
Pt  0.0000  0.5000  0.3739  4 Dy 2.89-2.91, 8 Pt 2.90-2.92
Pt  0.5000  0.5000  0.0000  8 Pt 2.84, 4 Zr 2.90
Dy  0.0000  0.0000  0.2495  12 Pt 2.89-2.95
Pt  0.5000  0.0000  0.6261  4 Dy 2.89-2.91, 8 Pt 2.90-2.92
Pt  0.0000  0.5000  0.6261  4 Dy 2.89-2.91, 8 Pt 2.90-2.92
Pt  0.5000  0.5000  0.5000  4 Dy 2.90, 8 Pt 2.91
Pt  0.0000  0.5000  0.1200  8 Pt 2.84-2.92, 2 Zr 2.84, 2 Dy 2.95
Dy  0.0000  0.0000  0.5000  12 Pt 2.90-2.91
Zr  0.0000  0.0000  0.0000  12 Pt 2.84-2.90
Pt  0.5000  0.0000  0.3739  4 Dy 2.89-2.91, 8 Pt 2.90-2.92

***

A plane-wave DFT calculation with PBE-GGA was carried out for NaAgPb after structural relaxation.

- E_form: -0.079 eV/atom
- Calculated total energy: -8.12 eV/cell

Unit cell a=3.3245 b=5.0880 c=5.0880 alpha=120.00 beta=90.00 gamma=90.00
Closest atoms and distances in Å follow each position.
Fractional positions:
Pb  0.1669  0.0000  0.0000  3 Ag 2.94
Ag  0.1667  0.3333  0.6667  3 Pb 2.94
Na  0.6664  0.6667  0.3333  2 Na 3.32, 6 Pb 3.37-3.38, 6 Ag 3.37-3.38